Below is a relaxed Pm2NiGe3Pt4 crystal, with properties calculated at the PBE-GGA level.

a = 4.2847 Å, b = 4.2847 Å, c = 10.2542 Å
α = 90.00°, β = 90.00°, γ = 90.00°
With the nearest neighbours (Å) after each atom.
Atoms (fractional coordinates):
Pm1 0.0000 0.5000 0.2372  8 Pt 3.23-3.44, 6 Ge 3.24-3.31, 2 Ni 3.24
Pm2 0.5000 0.0000 0.7628  8 Pt 3.23-3.44, 6 Ge 3.24-3.31, 2 Ni 3.24
Ni1 0.5000 0.5000 0.0000  4 Pt 2.52
Ge1 0.0000 0.0000 0.0000  4 Pt 2.52
Ge2 0.0000 0.5000 0.6339  5 Pt 2.43-2.54
Ge3 0.5000 0.0000 0.3661  5 Pt 2.43-2.54
Pt1 0.0000 0.0000 0.5000  4 Ge 2.54
Pt2 0.0000 0.5000 0.8707  3 Ge 2.43-2.52, 2 Ni 2.52
Pt3 0.5000 0.0000 0.1293  3 Ge 2.43-2.52, 2 Ni 2.52
Pt4 0.5000 0.5000 0.5000  4 Ge 2.54

Calculated values
Its magnetization is 0.0000 μB/atom. As for the crystal system: tetragonal. Its space-group type is No. 115. The value obtained for the energy of formation is -849 meV per atom.